Below is crystalline Mg2PPt at its relaxed geometry, with properties calculated at the PBE level.

abc: 7.119 7.119 5.682
angles: 90.00 90.00 90.00
Space group I-42d (No. 122)
Symmetry-distinct sites (fractional):
Mg 0.236 0.750 0.125 x8
P 0.000 0.000 0.000 x4
Pt 0.000 0.000 0.500 x4

## Properties
The density of states at the Fermi level comes out at 1.609 states/eV/f.u. The size of the total moment comes out at 0.00 μB per atom. As for the calculated formation energy: -0.2597 eV/atom. Its volume is 18.0 A^3/atom.

***

Below is crystalline Mg2PPt2 at its relaxed geometry, with properties calculated at the PBE level.

abc: 7.712 7.712 2.864
angles: 90.00 90.00 90.00
Space group P4/mbm (No. 127)
Symmetry-distinct sites (fractional):
Mg 0.155 0.345 0.000 x4
P 0.000 0.000 0.000 x2
Pt 0.141 0.641 0.500 x4

## Properties
The density of states at the Fermi level comes out at 1.922 states/eV/f.u. The size of the total moment comes out at 0.00 μB per atom. As for the calculated formation energy: -0.2970 eV/atom. Its energy above the most stable polymorph in this dataset is 273 meV per atom. Its volume is 17.0 A^3/atom.

***

Below is crystalline Mg2PPt at its relaxed geometry, with properties calculated at the PBE level.

abc: 3.3804 3.3804 24.0510
angles: 90.00 90.00 120.00
Space group R3m (No. 160, hexagonal axes)
Symmetry-distinct sites (fractional):
Mg 0.0000 0.0000 0.0000 x3
Mg 0.0000 0.0000 0.2250 x3
P 0.0000 0.0000 0.7514 x3
Pt 0.0000 0.0000 0.4720 x3

## Properties
The density of states at the Fermi level comes out at 1.759 states/eV/f.u. The size of the total moment comes out at 0.00 μB per atom. As for the calculated formation energy: -0.2422 eV/atom. Its volume is 19.8 A^3/atom.

***

Below is crystalline MgP2Pt at its relaxed geometry, with properties calculated at the PBE level.

abc: 3.081 3.081 7.694
angles: 90.00 90.00 90.00
Space group P4mm (No. 99)
Symmetry-distinct sites (fractional):
Mg 0.000 0.000 0.000 x1
P 0.000 0.000 0.591 x1
P 0.500 0.500 0.208 x1
Pt 0.500 0.500 0.737 x1

## Properties
The density of states at the Fermi level comes out at 1.754 states/eV/f.u. The size of the total moment comes out at 0.00 μB per atom. As for the calculated formation energy: -0.0907 eV/atom. Its volume is 18.3 A^3/atom.

***

Below is crystalline Mg2PPt at its relaxed geometry, with properties calculated at the PBE level.

abc: 6.408 6.408 6.408
angles: 90.00 90.00 90.00
Space group F-43m (No. 216)
Symmetry-distinct sites (fractional):
Mg 0.000 0.000 0.000 x4
Mg 0.250 0.250 0.250 x4
P 0.250 0.250 0.750 x4
Pt 0.000 0.000 0.500 x4

## Properties
The density of states at the Fermi level comes out at 1.413 states/eV/f.u. The size of the total moment comes out at 0.00 μB per atom. As for the calculated formation energy: -0.2759 eV/atom. Its volume is 16.4 A^3/atom.

***

Below is crystalline Mg2PPt at its relaxed geometry, with properties calculated at the PBE level.

abc: 2.994 4.367 10.780
angles: 90.00 90.00 90.00
Space group Imm2 (No. 44)
Symmetry-distinct sites (fractional):
Mg 0.000 0.000 0.000 x2
Mg 0.000 0.500 0.194 x2
P 0.000 0.000 0.422 x2
Pt 0.000 0.500 0.741 x2

## Properties
The density of states at the Fermi level comes out at 1.051 states/eV/f.u. The size of the total moment comes out at 0.00 μB per atom. As for the calculated formation energy: -0.5102 eV/atom. Its volume is 17.6 A^3/atom.

***

Below is crystalline Mg2PPt at its relaxed geometry, with properties calculated at the PBE level.

abc: 4.312 4.312 7.110
angles: 90.00 90.00 90.00
Space group I4/mmm (No. 139)
Symmetry-distinct sites (fractional):
Mg 0.000 0.500 0.250 x4
P 0.000 0.000 0.000 x2
Pt 0.000 0.000 0.500 x2

## Properties
The density of states at the Fermi level comes out at 1.213 states/eV/f.u. The size of the total moment comes out at 0.00 μB per atom. As for the calculated formation energy: -0.4700 eV/atom. Its volume is 16.5 A^3/atom.

***

Below is crystalline MgP2Pt at its relaxed geometry, with properties calculated at the PBE level.

abc: 3.617 3.955 4.334
angles: 90.00 90.00 90.00
Space group Pmmm (No. 47)
Symmetry-distinct sites (fractional):
Mg 0.000 0.000 0.000 x1
P 0.500 0.000 0.500 x1
P 0.500 0.500 0.000 x1
Pt 0.000 0.500 0.500 x1

## Properties
The density of states at the Fermi level comes out at 1.642 states/eV/f.u. The size of the total moment comes out at 0.00 μB per atom. As for the calculated formation energy: -0.0980 eV/atom. Its volume is 15.5 A^3/atom.